Ba3HfH GGA-PBE optimized geometry; E above lowest polymorph = 0 meV per atom; space group = No. 221; DOS at the Fermi energy = 1.05 states/eV/atom; DFT total energy = -3.465 eV/atom
1.0
5.571 0.000 0.000
0.000 5.571 0.000
0.000 0.000 5.571
Ba Hf H
3 1 1
Cartesian
0.000 0.000 2.786 Ba
0.000 2.786 0.000 Ba
2.786 0.000 0.000 Ba
2.786 2.786 2.786 Hf
0.000 0.000 0.000 H